Material: Sr2AsAu
Method: DFT, meta-GGA SCAN
State: PBEsol geometry

Cell and atoms, written as POSCAR:
```
Sr2AsAu
1.0
2.3299 1.3452 6.5156
-2.3299 1.3452 6.5156
0.0000 -2.6904 6.5156
Sr As Au
2 1 1
Direct
0.2434 0.2434 0.2434 Sr
0.7566 0.7566 0.7566 Sr
0.5000 0.5000 0.5000 As
0.0000 0.0000 0.0000 Au
```

Computed properties:
E_form: -1079 meV per atom
space-group type: R-3m

=====

Material: TaAsAu2
Method: DFT, meta-GGA SCAN
State: PBEsol geometry

Cell and atoms, written as POSCAR:
```
TaAsAu2
1.0
-1.6197 2.1677 4.7950
1.6197 -2.1677 4.7950
1.6197 2.1677 -4.7950
Ta As Au
1 1 2
Direct
0.0000 0.0000 0.0000 Ta
0.5000 0.5000 0.0000 As
0.2688 0.7688 0.5000 Au
0.7312 0.2312 0.5000 Au
```

Computed properties:
N(E_F): 2.5 states/eV/f.u.
E_form: 86 meV per atom
space-group type: Immm

=====

Material: TaAs2Au
Method: DFT, meta-GGA SCAN
State: PBEsol geometry

Cell and atoms, written as POSCAR:
```
TaAs2Au
1.0
3.3735 0.0000 0.0000
0.0000 3.3633 0.0000
-0.3213 0.0000 6.0120
Ta As Au
1 2 1
Direct
0.0000 0.0000 0.0000 Ta
0.4726 0.5000 0.7729 As
0.5274 0.5000 0.2271 As
0.0000 0.0000 0.5000 Au
```

Computed properties:
N(E_F): 2.0 states/eV/f.u.
E_form: -67 meV per atom
space-group type: P2/m

=====

Material: TaAsAu
Method: DFT, meta-GGA SCAN
State: PBEsol geometry

Cell and atoms, written as POSCAR:
```
TaAsAu
1.0
4.5059 0.0000 0.0000
-2.2530 3.9023 0.0000
0.0000 0.0000 2.9578
Ta As Au
1 1 1
Direct
0.0000 0.0000 0.0000 Ta
0.6667 0.3333 0.0000 As
0.3333 0.6667 0.5000 Au
```

Computed properties:
N(E_F): 2.7 states/eV/f.u.
E_form: 152 meV per atom
space-group type: P-6m2

=====

Material: TaAsAu2
Method: DFT, meta-GGA SCAN
State: PBEsol geometry

Cell and atoms, written as POSCAR:
```
TaAsAu2
1.0
3.2857 0.0000 0.0000
0.0000 4.3034 0.0000
0.0000 0.0000 4.8099
Ta As Au
1 1 2
Direct
0.0000 0.0000 0.0000 Ta
0.5000 0.5000 0.0000 As
0.0000 0.5000 0.5000 Au
0.5000 0.0000 0.5000 Au
```

Computed properties:
N(E_F): 2.4 states/eV/f.u.
E_form: 104 meV per atom
space-group type: Pmmm

=====

Material: TaAs2Au
Method: DFT, meta-GGA SCAN
State: PBEsol geometry

Cell and atoms, written as POSCAR:
```
TaAs2Au
1.0
3.5670 0.0000 0.0000
0.0000 3.5670 0.0000
0.0000 0.0000 5.4864
Ta As Au
1 2 1
Direct
0.0000 0.0000 0.0000 Ta
0.0000 0.0000 0.5290 As
0.5000 0.5000 0.1673 As
0.5000 0.5000 0.6863 Au
```

Computed properties:
N(E_F): 1.5 states/eV/f.u.
E_form: -115 meV per atom
space-group type: P4mm

=====

Material: TaAs2Au
Method: DFT, meta-GGA SCAN
State: PBEsol geometry

Cell and atoms, written as POSCAR:
```
TaAs2Au
1.0
0.0000 3.2676 3.2676
3.2676 0.0000 3.2676
3.2676 3.2676 0.0000
Ta As Au
1 2 1
Direct
0.0000 0.0000 0.0000 Ta
0.5000 0.5000 0.5000 As
0.7500 0.7500 0.7500 As
0.2500 0.2500 0.2500 Au
```

Computed properties:
N(E_F): 2.9 states/eV/f.u.
E_form: 372 meV per atom
space-group type: F-43m

=====

Material: TaAs2Au
Method: DFT, meta-GGA SCAN
State: PBEsol geometry

Cell and atoms, written as POSCAR:
```
TaAs2Au
1.0
3.0367 -4.3881 0.0000
3.0367 4.3881 0.0000
-1.3918 0.0000 2.6046
Ta As Au
1 2 1
Direct
0.0000 0.0000 0.0000 Ta
0.0000 0.5000 0.5000 As
0.5000 0.0000 0.5000 As
0.5000 0.5000 0.0000 Au
```

Computed properties:
N(E_F): 2.0 states/eV/f.u.
E_form: 182 meV per atom
space-group type: C2/m

=====

Material: TaAsAu2
Method: DFT, meta-GGA SCAN
State: PBEsol geometry

Cell and atoms, written as POSCAR:
```
TaAsAu2
1.0
3.0146 0.0000 0.0000
0.0000 4.1445 0.0000
0.0000 0.0000 5.5179
Ta As Au
1 1 2
Direct
0.0000 0.0000 0.0000 Ta
0.0000 0.0000 0.5000 As
0.5000 0.5000 0.2440 Au
0.5000 0.5000 0.7560 Au
```

Computed properties:
N(E_F): 2.7 states/eV/f.u.
E_form: 112 meV per atom
space-group type: Pmmm

=====

Material: TaAs2Au
Method: DFT, meta-GGA SCAN
State: PBEsol geometry

Cell and atoms, written as POSCAR:
```
TaAs2Au
1.0
1.7103 -2.2482 0.0000
1.7103 2.2482 0.0000
0.0000 0.0000 9.7528
Ta As Au
1 2 1
Direct
0.0000 0.0000 0.0000 Ta
0.5000 0.5000 0.2105 As
0.5000 0.5000 0.7895 As
0.0000 0.0000 0.5000 Au
```

Computed properties:
N(E_F): 1.1 states/eV/f.u.
E_form: 58 meV per atom
space-group type: Cmmm

=====

Material: TcAs2Au
Method: DFT, meta-GGA SCAN
State: PBEsol geometry

Cell and atoms, written as POSCAR:
```
TcAs2Au
1.0
1.5378 0.8878 8.0399
-1.5378 0.8878 8.0399
0.0000 -1.7756 8.0399
Tc As Au
1 2 1
Direct
0.0000 0.0000 0.0000 Tc
0.2591 0.2591 0.2591 As
0.7409 0.7409 0.7409 As
0.5000 0.5000 0.5000 Au
```

Computed properties:
N(E_F): 1.8 states/eV/f.u.
E_form: -5 meV per atom
space-group type: R-3m

=====

Material: TcAs2Au
Method: DFT, meta-GGA SCAN
State: PBEsol geometry

Cell and atoms, written as POSCAR:
```
TcAs2Au
1.0
3.2558 0.0000 0.0000
0.0000 4.1169 0.0000
0.0000 0.0000 4.8896
Tc As Au
1 2 1
Direct
0.0000 0.0000 0.0000 Tc
0.0000 0.5000 0.5000 As
0.5000 0.5000 0.0000 As
0.5000 0.0000 0.5000 Au
```

Computed properties:
N(E_F): 3.4 states/eV/f.u.
E_form: 499 meV per atom
space-group type: Pmmm

=====

Record order is preserved below.
Total magnetic moment: 0.00, 0.00, 0.00, 0.00, 0.00, 0.00, 0.00, 0.00, 0.00, 0.00, 0.00, 0.00 μB/atom